Entry 1:
DFT (PBE-GGA) results for Sr2TlGaF8 after structural relaxation.

Calculated values
Magnetization ... 0.0 μB/f.u.

a b c (Å): 4.6002 7.9849 5.4241
angles (deg): 90.00 98.17 90.00
Fractional coordinates of all 12 atoms:
1 Sr 0.0000 0.2422 0.0000
2 Sr 0.0000 0.7578 0.0000
3 Tl 0.5000 0.5000 0.5000
4 Ga 0.5000 0.0000 0.5000
5 F 0.0504 0.5000 0.7722
6 F 0.1269 0.0000 0.2868
7 F 0.4093 0.1776 0.7256
8 F 0.4093 0.8224 0.7256
9 F 0.5907 0.1776 0.2744
10 F 0.5907 0.8224 0.2744
11 F 0.8731 0.0000 0.7132
12 F 0.9496 0.5000 0.2278

***

Entry 2:
DFT (PBE-GGA) results for TaGaF2 after structural relaxation.

Calculated values
Energy relative to the lowest polymorph listed for this composition ... 0 kJ/mol of formula units
Magnetization ... 0.9 μB/f.u.

a b c (Å): 3.0720 3.0720 26.4056
angles (deg): 90.00 90.00 120.00
Fractional coordinates of all 12 atoms:
1 Ta 0.0000 0.0000 0.0000
2 Ta 0.3333 0.6667 0.6667
3 Ta 0.6667 0.3333 0.3333
4 Ga 0.0000 0.0000 0.5000
5 Ga 0.3333 0.6667 0.1667
6 Ga 0.6667 0.3333 0.8333
7 F 0.0000 0.0000 0.0727
8 F 0.0000 0.0000 0.9273
9 F 0.3333 0.6667 0.5940
10 F 0.3333 0.6667 0.7394
11 F 0.6667 0.3333 0.2606
12 F 0.6667 0.3333 0.4060

***

Entry 3:
DFT (PBE-GGA) results for TaGa2F8 after structural relaxation.

Calculated values
Magnetization ... 0.0 μB/f.u.

a b c (Å): 5.1098 5.3429 7.3860
angles (deg): 70.91 89.31 66.92
Fractional coordinates of all 11 atoms:
1 Ta 0.0000 0.0000 0.0000
2 Ga 0.2793 0.2673 0.4601
3 Ga 0.7207 0.7327 0.5399
4 F 0.1163 0.1755 0.1537
5 F 0.1439 0.6246 0.5383
6 F 0.2769 0.0472 0.8275
7 F 0.2789 0.6202 0.1640
8 F 0.7211 0.3798 0.8360
9 F 0.7231 0.9528 0.1725
10 F 0.8561 0.3754 0.4617
11 F 0.8837 0.8245 0.8463

***

Entry 4:
DFT (PBE-GGA) results for Ta2GaF after structural relaxation.

Calculated values
Energy relative to the lowest polymorph listed for this composition ... 0 kJ/mol of formula units
Magnetization ... 0.0 μB/f.u.

a b c (Å): 6.2484 6.2484 6.2484
angles (deg): 90.00 90.00 90.00
Fractional coordinates of all 16 atoms:
1 Ta 0.2500 0.2500 0.2500
2 Ta 0.2500 0.2500 0.7500
3 Ta 0.2500 0.7500 0.2500
4 Ta 0.2500 0.7500 0.7500
5 Ta 0.7500 0.2500 0.2500
6 Ta 0.7500 0.2500 0.7500
7 Ta 0.7500 0.7500 0.2500
8 Ta 0.7500 0.7500 0.7500
9 Ga 0.0000 0.0000 0.0000
10 Ga 0.0000 0.5000 0.5000
11 Ga 0.5000 0.0000 0.5000
12 Ga 0.5000 0.5000 0.0000
13 F 0.0000 0.0000 0.5000
14 F 0.0000 0.5000 0.0000
15 F 0.5000 0.0000 0.0000
16 F 0.5000 0.5000 0.5000

***

Formation energy without anion corrections (meV/atom)
-3091, -1418, -2630, -160
VASP energy (eV per atom)
-5.068, -6.074, -5.619, -7.311